This record from Alexandria via LeMat-Bulk describes a relaxed Fe5Co3 crystal. The functional is PBEsol.

Unit cell a=2.7966 b=3.9562 c=7.9152 alpha=90.00 beta=90.00 gamma=90.00
Closest atoms and distances in Å follow each position.
Atoms (fractional coordinates):
1 Fe 0.0000 0.0000 0.0000  4 Fe 2.42, 4 Co 2.43
2 Fe 0.0000 0.0000 0.5000  8 Co 2.42
3 Fe 0.0000 0.5000 0.2497  2 Fe 2.42, 6 Co 2.42
4 Fe 0.0000 0.5000 0.7503  2 Fe 2.42, 6 Co 2.42
5 Fe 0.5000 0.5000 0.0000  8 Fe 2.42
6 Co 0.5000 0.0000 0.2511  8 Fe 2.42-2.43
7 Co 0.5000 0.0000 0.7489  8 Fe 2.42-2.43
8 Co 0.5000 0.5000 0.5000  8 Fe 2.42

## Properties
N(E_F) ... 0.414 states/eV/atom
Polymorph energy (0 for the lowest one) ... 2.8 meV/atom